## YPuInAu (PBE)

Data for a relaxed structure of YPuInAu.

VASP energy	-7.09	eV per atom
energy of formation from the pure elements	-386	meV per atom
V	411	Å³/cell

abc: 7.435 7.435 7.435
angles: 90.00 90.00 90.00
Space group F-43m (No. 216)
Symmetry-distinct sites (fractional):
Y1 0.000 0.000 0.000 x4
Pu1 0.000 0.000 0.500 x4
In1 0.250 0.250 0.250 x4
Au1 0.250 0.250 0.750 x4

---

## Th4B3SbRh12 (PBE)

Data for a relaxed structure of Th4B3SbRh12.

VASP energy	-7.79	eV per atom
V	689	Å³/cell
raw formation energy	-13.732	eV per formula unit

abc: 8.830 8.830 8.830
angles: 90.00 90.00 90.00
Space group Im-3m (No. 229)
Symmetry-distinct sites (fractional):
Th1 0.250 0.250 0.250 x8
B1 0.000 0.000 0.500 x6
Sb1 0.000 0.000 0.000 x2
Rh1 0.000 0.000 0.280 x12
Rh2 0.000 0.250 0.500 x12

---

## YTiNO2 (PBE)

Data for a relaxed structure of YTiNO2.

VASP energy	-7.15	eV per atom
V	78	Å³/cell
raw formation energy	-3.146	eV per formula unit

abc: 4.227 4.227 4.393
angles: 90.00 90.00 90.00
Space group P4/mmm (No. 123)
Symmetry-distinct sites (fractional):
Y1 0.000 0.000 0.000 x1
Ti1 0.500 0.500 0.500 x1
N1 0.000 0.000 0.500 x1
O1 0.000 0.500 0.000 x2

---

| no. | Fermi-level density of states (states/eV/cell) | density (Mg/m³) |
| --- | --- | --- |
| 1 | 38.88 | 10.4 |
| 2 | 19.88 | 11.2 |
| 3 | 6.07 | 3.9 |